{
  "formula": "ZnCr2NiN",
  "functional": "GGA-PBE",
  "state": "relaxed",
  "crystal_system": "tetragonal",
  "space_group": "P4/mmm",
  "cell": [[3.778, 0.000, 0.000], [0.000, 3.778, 0.000], [0.000, 0.000, 3.864]],
  "species": ["Zn", "Cr", "Cr", "Ni", "N"],
  "frac_coords": [[0.000, 0.000, 0.000], [0.000, 0.500, 0.500], [0.500, 0.000, 0.500], [0.500, 0.500, 0.000], [0.500, 0.500, 0.500]]
}



{
  "formula": "NpCrN2",
  "functional": "GGA-PBE",
  "state": "relaxed",
  "crystal_system": "trigonal",
  "space_group": "R3m",
  "cell": [[3.109, 0.000, 0.000], [-1.555, 2.693, 0.000], [0.000, 0.000, 16.207]],
  "species": ["Np", "Np", "Np", "Cr", "Cr", "Cr", "N", "N", "N", "N", "N", "N"],
  "frac_coords": [[0.000, 0.000, 0.000], [0.333, 0.667, 0.667], [0.667, 0.333, 0.333], [0.000, 0.000, 0.825], [0.333, 0.667, 0.492], [0.667, 0.333, 0.159], [0.000, 0.000, 0.233], [0.000, 0.000, 0.430], [0.333, 0.667, 0.096], [0.333, 0.667, 0.900], [0.667, 0.333, 0.566], [0.667, 0.333, 0.763]]
}



Number 1: calculated total energy -35.4 eV per cell. Number 2: calculated total energy -124.8 eV per cell.